DFT (PBE) results for MgZnGaPt after structural relaxation.

Cell lengths 4.274, 4.274, 5.016 Å; angles 64.78, 64.78, 60.00 degrees
Fractional coordinates of all 4 atoms:
Mg: 0.820 0.820 0.539
Zn: 0.249 0.249 0.254
Ga: 0.623 0.623 0.131
Pt: 0.034 0.034 0.899

Summary:
As for the energy relative to the elements: -335 meV per atom. Its symmetry is R3m (160).

---

DFT (PBE) results for SbPtPb2 after structural relaxation.

Cell lengths 5.584, 5.584, 5.584 Å; angles 129.70, 129.70, 73.89 degrees
Fractional coordinates of all 4 atoms:
Pb: 0.000 0.000 0.000
Pb: 0.250 0.750 0.500
Pt: 0.500 0.500 0.000
Sb: 0.750 0.250 0.500

Summary:
Its symmetry is I-4m2 (119). For the uncorrected formation energy, the calculation gives 0.126 eV per atom.

---

DFT (PBE) results for La3Si2Au4 after structural relaxation.

Cell lengths 4.487, 6.083, 8.912 Å; angles 106.98, 90.00, 111.64 degrees
Fractional coordinates of all 9 atoms:
La: 0.664 0.329 0.663
La: 0.000 0.000 0.000
La: 0.336 0.671 0.337
Si: 0.606 0.212 0.281
Si: 0.394 0.788 0.719
Au: 0.713 0.425 0.069
Au: 0.287 0.575 0.931
Au: 0.940 0.880 0.618
Au: 0.060 0.120 0.382

Summary:
Its symmetry is C2/m (12). For the uncorrected formation energy, the calculation gives -0.833 eV per atom.